Entry from Alexandria via LeMat-Bulk: a geometry-optimized Ho3Er3Tm8 structure (GGA-PBE).

abc: 5.5164 9.4668 9.4668
angles: 101.57 73.05 73.05
Atoms (fractional coordinates):
Tm 0.1577 0.4464 0.2384
Tm 0.3413 0.4365 0.8809
Er 0.5000 0.0000 0.0000
Ho 0.2032 0.7967 0.7967
Tm 0.3413 0.8809 0.4365
Tm 0.1577 0.2384 0.4464
Tm 0.8423 0.7616 0.5536
Ho 0.5000 0.5000 0.5000
Tm 0.8423 0.5536 0.7616
Tm 0.6587 0.1191 0.5635
Ho 0.7968 0.2033 0.2033
Tm 0.6587 0.5635 0.1191
Er 0.0000 0.1820 0.8180
Er 0.0000 0.8180 0.1820

Values from the calculation:
The space-group type is No. 71. The value obtained for the total magnetization is 0.000 μB/f.u. The value obtained for the excess energy over the best structure of this formula in the dataset is 2.1 meV/atom.

---

Entry from Alexandria via LeMat-Bulk: a geometry-optimized HoEr12Tm6 structure (GGA-PBE).

abc: 9.1799 9.1799 9.1799
angles: 107.69 107.69 107.69
Atoms (fractional coordinates):
Er 0.1304 0.3525 0.3525
Er 0.6475 0.6475 0.8696
Tm 0.6851 0.6851 0.2738
Er 0.3525 0.1304 0.3525
Tm 0.3149 0.3149 0.7262
Er 0.5000 0.8887 0.1113
Ho 0.0000 0.0000 0.0000
Er 0.1113 0.5000 0.8887
Er 0.3525 0.3525 0.1304
Tm 0.6851 0.2738 0.6851
Tm 0.2738 0.6851 0.6851
Er 0.8887 0.1113 0.5000
Er 0.6475 0.8696 0.6475
Tm 0.3149 0.7262 0.3149
Er 0.1113 0.8887 0.5000
Er 0.5000 0.1113 0.8887
Er 0.8696 0.6475 0.6475
Er 0.8887 0.5000 0.1113
Tm 0.7262 0.3149 0.3149

Values from the calculation:
The space-group type is No. 166. The value obtained for the total magnetization is 0.000 μB/f.u. The value obtained for the excess energy over the best structure of this formula in the dataset is 287.5 meV/atom.

---

Entry from Alexandria via LeMat-Bulk: a geometry-optimized HoEr6Tm4 structure (GGA-PBE).

abc: 5.5450 5.5277 25.3014
angles: 90.00 90.00 120.10
Atoms (fractional coordinates):
Tm 0.1656 0.3311 0.4579
Er 0.5024 0.0049 0.7500
Tm 0.5036 0.0073 0.8785
Er 0.1696 0.3392 0.6032
Tm 0.5036 0.0073 0.6215
Er 0.8304 0.6607 0.3968
Er 0.5000 0.0000 0.5000
Er 0.8362 0.6724 0.8186
Er 0.1638 0.3276 0.3186
Tm 0.1656 0.3311 0.0421
Tm 0.4964 0.9927 0.1215
Tm 0.8344 0.6689 0.9579
Tm 0.4964 0.9927 0.3785
Ho 0.1689 0.3378 0.7500
Er 0.1638 0.3276 0.1814
Er 0.4976 0.9951 0.2500
Ho 0.8311 0.6622 0.2500
Er 0.8362 0.6724 0.6814
Tm 0.8344 0.6689 0.5421
Er 0.1696 0.3392 0.8968
Er 0.8304 0.6607 0.1032
Er 0.5000 0.0000 0.0000

Values from the calculation:
The space-group type is No. 63. The value obtained for the total magnetization is 0.000 μB/f.u. The value obtained for the excess energy over the best structure of this formula in the dataset is 0.0 meV/atom.

---

Entry from Alexandria via LeMat-Bulk: a geometry-optimized Ho6ErTm4 structure (GGA-PBE).

abc: 3.4871 10.7622 10.7622
angles: 120.00 90.00 90.00
Atoms (fractional coordinates):
Ho 0.5000 0.1818 0.3637
Ho 0.5000 0.1818 0.8182
Ho 0.0000 0.5172 0.4828
Ho 0.5000 0.6363 0.8182
Tm 0.5000 0.8385 0.6770
Er 0.0000 0.0000 0.0000
Tm 0.0000 0.3333 0.6667
Ho 0.0000 0.9655 0.4828
Tm 0.5000 0.3230 0.1615
Tm 0.5000 0.8385 0.1615
Ho 0.0000 0.5172 0.0345

Values from the calculation:
The space-group type is No. 187. The value obtained for the total magnetization is 0.003 μB/f.u. The value obtained for the excess energy over the best structure of this formula in the dataset is 31.8 meV/atom.

---

Entry from Alexandria via LeMat-Bulk: a geometry-optimized Ho2Er6Tm3 structure (GGA-PBE).

abc: 4.6545 4.6545 16.6814
angles: 98.02 98.02 90.00
Atoms (fractional coordinates):
Er 0.3037 0.3037 0.6073
Tm 0.0000 0.0000 0.0000
Ho 0.5462 0.5462 0.0923
Tm 0.7999 0.7999 0.5999
Er 0.6217 0.1217 0.2434
Ho 0.4538 0.4538 0.9077
Er 0.3783 0.8783 0.7566
Tm 0.2001 0.2001 0.4001
Er 0.1217 0.6217 0.2434
Er 0.6963 0.6963 0.3927
Er 0.8783 0.3783 0.7566

Values from the calculation:
The space-group type is No. 139. The value obtained for the total magnetization is 0.000 μB/f.u. Its total energy is -4.243 eV per atom.

---

Entry from Alexandria via LeMat-Bulk: a geometry-optimized Ho6Er4Tm19 structure (GGA-PBE).

abc: 10.6273 10.6273 10.6272
angles: 109.47 109.47 109.47
Atoms (fractional coordinates):
Ho 0.5000 0.8703 0.3703
Tm 0.8038 0.3397 0.0148
Tm 0.6751 0.6603 0.4640
Tm 0.7890 0.9852 0.3249
Tm 0.7378 0.7378 0.0000
Tm 0.0148 0.8038 0.3397
Tm 0.3397 0.0148 0.8038
Tm 0.4640 0.6751 0.6603
Ho 0.8703 0.3703 0.5000
Tm 0.0000 0.7378 0.7378
Er 0.3565 0.3565 0.3565
Tm 0.2622 0.0000 0.2622
Tm 0.5360 0.1962 0.2110
Tm 0.0000 0.2622 0.2622
Tm 0.2110 0.5360 0.1962
Er 0.0000 0.6435 0.0000
Ho 0.5000 0.1297 0.6297
Tm 0.3249 0.7890 0.9852
Ho 0.6297 0.5000 0.1297
Tm 0.7378 0.0000 0.7378
Tm 0.6603 0.4640 0.6751
Er 0.0000 0.0000 0.6435
Er 0.6435 0.0000 0.0000
Tm 0.1962 0.2110 0.5360
Ho 0.3703 0.5000 0.8703
Ho 0.1297 0.6297 0.5000
Tm 0.0000 0.0000 0.0000
Tm 0.2622 0.2622 0.0000
Tm 0.9852 0.3249 0.7890

Values from the calculation:
The space-group type is No. 197. The value obtained for the total magnetization is 0.004 μB/f.u. Its total energy is -4.111 eV per atom.

---

Entry from Alexandria via LeMat-Bulk: a geometry-optimized Ho4Er5Tm3 structure (GGA-PBE).

abc: 5.7853 8.4319 9.4796
angles: 105.92 72.23 69.94
Site moments in Bohr magnetons follow the coordinates.
Atoms (fractional coordinates):
Tm 0.5228 0.6873 0.2672  0.02
Ho 0.8592 0.2214 0.0601  0.01
Er 0.2121 0.4607 0.1152  0.02
Er 0.7879 0.5393 0.8848  0.02
Ho 0.8357 0.9501 0.3785  0.01
Er 0.5000 0.5000 0.5000  0.23
Er 0.3714 0.0555 0.2018  0.01
Er 0.6286 0.9445 0.7982  0.01
Tm 0.0000 0.5000 0.5000  0.24
Ho 0.1408 0.7786 0.9399  0.01
Tm 0.4772 0.3127 0.7328  0.02
Ho 0.1643 0.0499 0.6215  0.01

Values from the calculation:
The space-group type is No. 12. The value obtained for the total magnetization is 0.602 μB/f.u. The value obtained for the excess energy over the best structure of this formula in the dataset is 229.1 meV/atom.

---

Entry from Alexandria via LeMat-Bulk: a geometry-optimized Ho5Er2Tm structure (GGA-PBE).

abc: 6.6185 9.4912 10.9956
angles: 64.47 120.90 120.79
Atoms (fractional coordinates):
Ho 0.3227 0.6145 0.0734
Er 0.0741 0.3656 0.8229
Ho 0.8237 0.1151 0.5726
Ho 0.5728 0.8645 0.3231
Ho 0.4489 0.2399 0.1984
Er 0.6980 0.4897 0.4484
Ho 0.6773 0.3855 0.9266
Tm 0.0529 0.2606 0.3021
Er 0.3020 0.5103 0.5516
Ho 0.5511 0.7601 0.8016
Tm 0.9471 0.7394 0.6979
Ho 0.8024 0.0107 0.0520
Ho 0.1763 0.8849 0.4274
Ho 0.4272 0.1355 0.6769
Ho 0.1976 0.9893 0.9480
Er 0.9259 0.6344 0.1771

Values from the calculation:
The space-group type is No. 2. The value obtained for the total magnetization is 0.000 μB/f.u. The value obtained for the excess energy over the best structure of this formula in the dataset is 0.0 meV/atom.

---

Entry from Alexandria via LeMat-Bulk: a geometry-optimized Ho5ErTm6 structure (GGA-PBE).

abc: 11.5834 6.0605 6.0535
angles: 59.96 85.01 79.99
Atoms (fractional coordinates):
Tm 0.2499 0.9174 0.6667
Tm 0.7501 0.4159 0.6667
Tm 0.2499 0.5841 0.3333
Ho 0.0000 0.3334 0.3332
Ho 0.0000 0.6666 0.6668
Tm 0.7501 0.7495 0.0000
Tm 0.2499 0.2505 0.0000
Ho 0.5000 0.1666 0.6667
Tm 0.7501 0.0826 0.3333
Ho 0.5000 0.5000 0.0000
Ho 0.5000 0.8334 0.3333
Er 0.0000 0.0000 0.0000

Values from the calculation:
The space-group type is No. 12. The value obtained for the total magnetization is 0.007 μB/f.u. Its total energy is -4.499 eV per atom.

---

Entry from Alexandria via LeMat-Bulk: a geometry-optimized HoEr5Tm structure (GGA-PBE).

abc: 6.6483 6.6483 13.4444
angles: 61.97 61.97 59.89
Atoms (fractional coordinates):
Er 0.3112 0.3437 0.0015
Ho 0.2789 0.7211 0.2500
Er 0.3437 0.3112 0.5015
Er 0.6563 0.6888 0.4985
Tm 0.0000 0.0000 0.0000
Er 0.1631 0.3878 0.7552
Er 0.8342 0.1658 0.2500
Tm 0.0000 0.0000 0.5000
Er 0.1658 0.8342 0.7500
Er 0.3878 0.1631 0.2552
Er 0.8369 0.6122 0.2448
Er 0.6888 0.6563 0.9985
Ho 0.7211 0.2789 0.7500
Er 0.6122 0.8369 0.7448

Values from the calculation:
The space-group type is No. 15. The value obtained for the total magnetization is 0.000 μB/f.u. The value obtained for the excess energy over the best structure of this formula in the dataset is 0.0 meV/atom.

---

Entry from Alexandria via LeMat-Bulk: a geometry-optimized Ho3ErTm8 structure (GGA-PBE).

abc: 7.5620 7.5620 9.2714
angles: 114.07 114.07 90.00
Atoms (fractional coordinates):
Er 0.0000 0.0000 0.0000
Tm 0.8751 0.3746 0.2497
Tm 0.3746 0.8751 0.2497
Tm 0.1249 0.6254 0.7503
Tm 0.6254 0.6254 0.7503
Ho 0.5000 0.5000 0.0000
Ho 0.2500 0.7500 0.5000
Tm 0.1249 0.1249 0.7503
Ho 0.7500 0.2500 0.5000
Tm 0.3746 0.3746 0.2497
Tm 0.6254 0.1249 0.7503
Tm 0.8751 0.8751 0.2497

Values from the calculation:
The space-group type is No. 139. The value obtained for the total magnetization is 0.001 μB/f.u. Its total energy is -3.776 eV per atom.

---

Entry from Alexandria via LeMat-Bulk: a geometry-optimized Ho2Er8Tm structure (GGA-PBE).

abc: 5.8161 8.9531 9.2866
angles: 61.18 73.48 53.85
Atoms (fractional coordinates):
Er 0.2889 0.4434 0.0000
Tm 0.5000 0.0000 0.0000
Er 0.5000 0.2036 0.5929
Er 0.7111 0.5566 0.0000
Er 0.8048 0.3429 0.7549
Er 0.1952 0.9023 0.7549
Er 0.1952 0.6571 0.2451
Ho 0.0000 0.6903 0.6194
Ho 0.0000 0.3097 0.3806
Er 0.5000 0.7964 0.4071
Er 0.8048 0.0977 0.2451

Values from the calculation:
The space-group type is No. 12. The value obtained for the total magnetization is 0.000 μB/f.u. Its total energy is -4.393 eV per atom.

---

Entry from Alexandria via LeMat-Bulk: a geometry-optimized HoEr2Tm5 structure (GGA-PBE).

abc: 6.9749 6.9749 6.9749
angles: 90.03 119.98 119.98
Atoms (fractional coordinates):
Tm 0.4999 0.2777 0.2777
Tm 0.0000 0.7778 0.2777
Tm 0.5001 0.7778 0.7778
Ho 0.0000 0.7777 0.7777
Er 0.5000 0.7777 0.2777
Er 0.5000 0.2777 0.7777
Tm 0.0000 0.2779 0.2779
Tm 0.0000 0.2777 0.7778

Values from the calculation:
The space-group type is No. 139. The value obtained for the total magnetization is 0.000 μB/f.u. The value obtained for the excess energy over the best structure of this formula in the dataset is 0.0 meV/atom.

---

Entry from Alexandria via LeMat-Bulk: a geometry-optimized Ho2Er2Tm7 structure (GGA-PBE).

abc: 8.6643 6.6846 6.3713
angles: 97.68 80.96 70.25
Atoms (fractional coordinates):
Er 0.7131 0.5055 0.3508
Tm 0.3971 0.9327 0.6908
Tm 0.7644 0.6945 0.8779
Tm 0.6371 0.2455 0.8216
Er 0.2869 0.4945 0.6492
Ho 0.9730 0.7738 0.4394
Tm 0.3629 0.7545 0.1784
Ho 0.0270 0.2262 0.5606
Tm 0.2356 0.3055 0.1221
Tm 0.0000 0.0000 0.0000
Tm 0.6029 0.0673 0.3092

Values from the calculation:
The space-group type is No. 2. The value obtained for the total magnetization is 0.000 μB/f.u. The value obtained for the excess energy over the best structure of this formula in the dataset is 0.0 meV/atom.

---

Entry from Alexandria via LeMat-Bulk: a geometry-optimized Ho4Er15Tm structure (GGA-PBE).

abc: 4.9504 4.9504 24.7443
angles: 90.00 90.00 90.00
Atoms (fractional coordinates):
Er 0.0000 0.5000 0.5000
Er 0.5000 0.0000 0.2998
Er 0.5000 0.0000 0.0996
Er 0.0000 0.5000 0.9004
Er 0.5000 0.5000 0.8004
Er 0.5000 0.0000 0.9004
Er 0.5000 0.0000 0.7002
Tm 0.0000 0.0000 0.0000
Ho 0.0000 0.0000 0.6001
Er 0.5000 0.5000 0.0000
Er 0.5000 0.5000 0.6001
Er 0.0000 0.5000 0.0996
Er 0.5000 0.0000 0.5000
Ho 0.0000 0.0000 0.3999
Ho 0.0000 0.0000 0.8003
Er 0.0000 0.5000 0.2998
Er 0.0000 0.5000 0.7002
Er 0.5000 0.5000 0.1996
Er 0.5000 0.5000 0.3999
Ho 0.0000 0.0000 0.1997

Values from the calculation:
The space-group type is No. 123. The value obtained for the total magnetization is 0.000 μB/f.u. Its total energy is -4.539 eV per atom.

---

Entry from Alexandria via LeMat-Bulk: a geometry-optimized Ho4Er5Tm2 structure (GGA-PBE).

abc: 4.9504 6.0661 17.5009
angles: 80.14 135.00 114.05
Atoms (fractional coordinates):
Tm 0.4087 0.7276 0.8181
Ho 0.3202 0.4552 0.6364
Ho 0.0447 0.6365 0.0909
Er 0.1354 0.9086 0.2726
Ho 0.9553 0.3635 0.9091
Er 0.7738 0.8188 0.5456
Er 0.5000 0.0000 0.0000
Er 0.8646 0.0914 0.7274
Tm 0.5913 0.2724 0.1819
Ho 0.6798 0.5448 0.3636
Er 0.2262 0.1812 0.4544

Values from the calculation:
The space-group type is No. 2. The value obtained for the total magnetization is 0.000 μB/f.u. The value obtained for the excess energy over the best structure of this formula in the dataset is 0.0 meV/atom.

---

Entry from Alexandria via LeMat-Bulk: a geometry-optimized Ho4ErTm3 structure (GGA-PBE).

abc: 5.5265 3.5268 13.1580
angles: 89.97 102.12 90.00
Atoms (fractional coordinates):
Ho 0.2772 0.4987 0.5544
Tm 0.0000 0.5000 0.0000
Ho 0.7228 0.5013 0.4456
Er 0.5000 0.0000 0.0000
Ho 0.6031 0.5003 0.2062
Tm 0.8448 0.9994 0.6895
Tm 0.1552 0.0006 0.3105
Ho 0.3969 0.4997 0.7938

Values from the calculation:
The space-group type is No. 65. The value obtained for the total magnetization is 0.000 μB/f.u. The value obtained for the excess energy over the best structure of this formula in the dataset is 212.0 meV/atom.

---

Entry from Alexandria via LeMat-Bulk: a geometry-optimized Ho15ErTm4 structure (GGA-PBE).

abc: 4.9598 4.9598 24.7998
angles: 90.00 90.00 90.00
Atoms (fractional coordinates):
Ho 0.5000 0.5000 0.5999
Ho 0.5000 0.5000 0.2002
Ho 0.5000 0.0000 0.1002
Ho 0.0000 0.5000 0.8998
Tm 0.0000 0.0000 0.2002
Er 0.0000 0.0000 0.0000
Tm 0.0000 0.0000 0.4000
Tm 0.0000 0.0000 0.7998
Ho 0.5000 0.0000 0.5000
Ho 0.5000 0.5000 0.7998
Ho 0.0000 0.5000 0.5000
Ho 0.0000 0.5000 0.6999
Ho 0.5000 0.5000 0.4001
Ho 0.5000 0.0000 0.6999
Ho 0.0000 0.5000 0.3001
Ho 0.5000 0.0000 0.3001
Ho 0.0000 0.5000 0.1002
Ho 0.5000 0.0000 0.8998
Tm 0.0000 0.0000 0.6000
Ho 0.5000 0.5000 0.0000

Values from the calculation:
The space-group type is No. 123. The value obtained for the total magnetization is 0.000 μB/f.u. Its total energy is -4.534 eV per atom.